[1]
BaAc2Sb3Pd6: optimized geometry, PBE.

Cell: 4.521 4.521 14.910 Å, 90.00 90.00 90.00°
Element x y z (fractional)
Sb: 0.000 0.000 0.382
Sb: 0.000 0.000 0.000
Pd: 0.000 0.000 0.825
Pd: 0.000 0.000 0.175
Ac: 0.500 0.500 0.141
Pd: 0.000 0.500 0.709
Pd: 0.500 0.000 0.709
Sb: 0.000 0.000 0.618
Pd: 0.500 0.000 0.291
Ba: 0.500 0.500 0.500
Pd: 0.000 0.500 0.291
Ac: 0.500 0.500 0.859

Results
The formation energy without anion corrections is -0.80 eV/atom. The density of states at the Fermi level is 6.1 states/eV per cell.

[2]
MgTlRu: optimized geometry, PBE.

Cell: 3.048 7.470 8.080 Å, 134.63 112.29 78.16°
Element x y z (fractional)
Mg: 0.262 0.110 0.319
Mg: 0.738 0.890 0.681
Tl: 0.515 0.637 0.836
Ru: 0.090 0.216 0.699
Tl: 0.485 0.363 0.164
Ru: 0.910 0.784 0.301

Results
The energy above the most stable polymorph in this dataset is 2.7 meV/atom. The formation energy comes out at 0.211 eV per atom. The density of states at the Fermi level is 4.3 states/eV per cell.

[3]
Nd4Sm3Y: optimized geometry, PBE.

Cell: 6.383 7.386 11.778 Å, 90.00 90.00 90.00°
Element x y z (fractional)
Sm: 0.481 0.376 0.250
Y: 0.148 0.377 0.000
Sm: 0.481 0.376 0.750
Sm: 0.981 0.624 0.750
Nd: 0.649 0.126 0.500
Nd: 0.149 0.874 0.000
Nd: 0.980 0.127 0.249
Nd: 0.646 0.126 0.000
Sm: 0.981 0.624 0.250
Nd: 0.480 0.873 0.749
Y: 0.648 0.623 0.500
Nd: 0.146 0.874 0.500
Sm: 0.149 0.375 0.500
Nd: 0.980 0.127 0.751
Sm: 0.649 0.625 0.000
Nd: 0.480 0.873 0.251

Results
The energy above the most stable polymorph in this dataset is 0.0 meV/atom. The formation energy comes out at 0.029 eV per atom. The density of states at the Fermi level is 28.4 states/eV per cell.

[4]
LaTb5P6: optimized geometry, PBE.

Cell: 7.051 7.051 7.051 Å, 99.60 99.60 119.99°
Element x y z (fractional)
Tb: 0.333 0.667 0.000
Tb: 0.500 0.500 0.500
Tb: 0.834 0.166 0.500
La: 0.000 0.000 0.000
P: 0.425 0.085 0.254
Tb: 0.166 0.834 0.500
P: 0.255 0.255 0.746
Tb: 0.667 0.333 0.000
P: 0.745 0.745 0.254
P: 0.575 0.915 0.746
P: 0.915 0.575 0.746
P: 0.085 0.425 0.254

Results
The formation energy comes out at -1.594 eV per atom. The density of states at the Fermi level is 1.4 states/eV per cell.

[5]
ScCd2Fe: optimized geometry, PBE.

Cell: 3.333 3.333 6.859 Å, 90.00 90.00 90.00°
Site moments in Bohr magnetons follow the coordinates.
Element x y z (fractional)
Cd: 0.000 0.000 0.028  -0.03
Fe: 0.500 0.500 0.250  2.76
Sc: 0.500 0.500 0.750  -0.17
Cd: 0.000 0.000 0.472  -0.03

Results
The formation energy comes out at 0.100 eV per atom. The density of states at the Fermi level is 4.0 states/eV per cell.

[6]
Sm2MgZn12Cu3: optimized geometry, PBE.

Cell: 8.402 8.402 8.402 Å, 57.77 57.77 57.77°
Element x y z (fractional)
Cu: 0.500 0.000 0.000
Zn: 0.343 0.343 0.860
Cu: 0.000 0.500 0.000
Zn: 0.860 0.343 0.343
Zn: 0.657 0.140 0.657
Cu: 0.000 0.000 0.500
Zn: 0.486 0.838 0.838
Zn: 0.343 0.860 0.343
Zn: 0.162 0.162 0.514
Zn: 0.514 0.162 0.162
Zn: 0.838 0.486 0.838
Sm: 0.599 0.599 0.599
Zn: 0.140 0.657 0.657
Sm: 0.401 0.401 0.401
Zn: 0.162 0.514 0.162
Zn: 0.657 0.657 0.140
Zn: 0.838 0.838 0.486
Mg: 0.000 0.000 0.000

Results
The formation energy comes out at 0.230 eV per atom. The density of states at the Fermi level is 8.8 states/eV per cell.

[7]
NaAgSn2Te4: optimized geometry, PBE.

Cell: 4.329 7.648 7.525 Å, 71.32 90.00 90.00°
Element x y z (fractional)
Te: 0.500 0.752 0.239
Na: 0.000 0.500 0.500
Sn: 0.000 0.000 0.000
Sn: 0.500 0.000 0.500
Ag: 0.500 0.500 0.000
Te: 0.000 0.748 0.758
Te: 0.000 0.252 0.242
Te: 0.500 0.248 0.761

Results
The formation energy without anion corrections is -0.32 eV/atom. The density of states at the Fermi level is 2.5 states/eV per cell.

[8]
CdS2F2: optimized geometry, PBE.

Cell: 3.579 3.681 8.772 Å, 97.80 91.26 60.93°
Element x y z (fractional)
F: 0.318 0.376 0.109
Cd: 0.000 0.000 0.000
S: 0.227 0.524 0.564
S: 0.773 0.476 0.436
F: 0.682 0.624 0.891

Results
The formation energy without anion corrections is -1.12 eV/atom. The density of states at the Fermi level is 0.7 states/eV per cell.

[9]
BaAlMo2: optimized geometry, PBE.

Cell: 3.099 5.394 4.856 Å, 90.00 90.00 90.00°
Element x y z (fractional)
Mo: 0.500 0.500 0.000
Al: 0.500 0.000 0.500
Mo: 0.000 0.000 0.000
Ba: 0.000 0.500 0.500

Results
The formation energy comes out at 1.126 eV per atom. The density of states at the Fermi level is 4.7 states/eV per cell.

[10]
ZrCrNi2: optimized geometry, PBE.

Cell: 4.824 4.824 3.778 Å, 66.95 66.95 46.18°
Site moments in Bohr magnetons follow the coordinates.
Element x y z (fractional)
Zr: 0.500 0.500 0.500  0.02
Ni: 0.000 0.000 0.000  0.33
Ni: 0.750 0.750 0.750  0.27
Cr: 0.250 0.250 0.250  2.92

Results
The formation energy comes out at -0.077 eV per atom. The density of states at the Fermi level is 2.6 states/eV per cell.

[11]
Zr5Zn2Hg2: optimized geometry, PBE.

Cell: 7.087 7.240 8.354 Å, 115.68 90.00 90.00°
Site moments in Bohr magnetons follow the coordinates.
Element x y z (fractional)
Hg: 0.000 0.778 0.555  0.00
Zn: 0.621 0.882 0.000  0.00
Zn: 0.121 0.618 0.000  0.00
Zr: 0.680 0.066 0.745  0.03
Hg: 0.500 0.278 0.555  0.00
Zn: 0.879 0.382 0.000  0.00
Zn: 0.379 0.118 0.000  0.00
Zr: 0.180 0.434 0.255  0.03
Hg: 0.500 0.722 0.445  0.00
Zr: 0.320 0.680 0.745  0.03
Hg: 0.000 0.222 0.445  0.00
Zr: 0.500 0.500 0.000  0.10
Zr: 0.680 0.320 0.255  0.03
Zr: 0.820 0.820 0.255  0.03
Zr: 0.320 0.934 0.255  0.03
Zr: 0.180 0.180 0.745  0.03
Zr: 0.820 0.566 0.745  0.03
Zr: 0.000 0.000 0.000  0.10

Results
The formation energy comes out at -0.090 eV per atom. The density of states at the Fermi level is 25.1 states/eV per cell.

[12]
Ta2NbSe4S2: optimized geometry, PBE.

Cell: 3.436 3.436 21.303 Å, 90.00 90.00 120.00°
Site moments in Bohr magnetons follow the coordinates.
Element x y z (fractional)
Se: 0.667 0.333 0.062  0.00
Se: 0.667 0.333 0.903  0.00
S: 0.667 0.333 0.255  0.00
Se: 0.000 0.000 0.728  0.00
Se: 0.000 0.000 0.569  0.00
Ta: 0.667 0.333 0.649  0.04
Ta: 0.000 0.000 0.983  0.03
S: 0.667 0.333 0.400  0.00
Nb: 0.000 0.000 0.328  0.16

Results
The formation energy without anion corrections is -0.88 eV/atom. The density of states at the Fermi level is 9.5 states/eV per cell.